Ho2Ni4Ge3Au | GGA-PBE | relaxed

The structure in POSCAR format:
```
Ho2Ni4Ge3Au
1.0
4.043 0.000 0.000
0.000 4.043 0.000
0.000 0.000 10.095
Ho Ni Ge Au
2 4 3 1
Cartesian
0.000 2.022 2.484
2.022 0.000 7.610
0.000 0.000 0.000
0.000 2.022 6.550
2.022 0.000 3.545
2.022 2.022 0.000
0.000 2.022 8.842
2.022 0.000 1.253
2.022 2.022 5.047
0.000 0.000 5.047
```

Summary:
- ΔH_f (0 K): -0.59 eV/atom



Zr6SbAs3 | GGA-PBE | relaxed

The structure in POSCAR format:
```
Zr6SbAs3
1.0
4.840 -6.582 0.000
4.840 6.582 0.000
0.000 0.000 6.968
Zr Sb As
12 2 6
Cartesian
4.840 6.537 3.484
2.795 2.908 0.151
4.840 3.309 2.360
3.168 0.592 2.838
3.168 -0.592 6.322
6.885 2.908 0.151
2.795 -2.908 3.635
6.512 0.592 2.838
6.512 -0.592 6.322
4.840 -3.309 5.844
6.885 -2.908 3.635
4.840 -6.537 0.000
4.840 4.093 5.177
4.840 -4.093 1.693
1.808 1.332 5.085
1.808 -1.332 1.601
4.840 1.083 0.696
4.840 -1.083 4.180
7.872 1.332 5.085
7.872 -1.332 1.601
```

Summary:
- Energy relative to the elements, uncorrected: -0.781 eV per atom



ZnNiHgB2 | GGA-PBE | relaxed

The structure in POSCAR format:
```
ZnNiHgB2
1.0
3.852 0.000 0.000
0.000 3.852 0.000
0.000 0.000 5.423
Zn Ni Hg B
1 1 1 2
Cartesian
0.000 0.000 0.000
1.926 1.926 2.711
0.000 0.000 2.711
0.000 1.926 0.000
1.926 0.000 0.000
```

Summary:
- ΔH_f (0 K): 1.53 eV/atom



TaAgW2 | GGA-PBE | relaxed

The structure in POSCAR format:
```
TaAgW2
1.0
-1.684 2.247 4.493
1.684 -2.247 4.493
1.684 2.247 -4.493
Ta Ag W
1 1 2
Cartesian
0.000 0.000 0.000
0.000 0.000 4.493
1.684 0.000 2.164
0.000 2.247 2.329
```

Summary:
- ΔH_f (0 K): 0.47 eV/atom



TaAlFe | GGA-PBE | relaxed

The structure in POSCAR format:
```
TaAlFe
1.0
7.174 0.000 0.000
-3.587 6.213 0.000
0.000 0.000 2.954
Ta Al Fe
3 3 3
Cartesian
-2.552 4.420 0.000
1.035 1.793 0.000
5.104 0.000 0.000
-1.358 2.352 1.477
2.716 0.000 1.477
2.229 3.861 1.477
0.000 0.000 1.477
0.000 4.142 0.000
3.587 2.071 0.000
```

Summary:
- ΔH_f (0 K): -0.17 eV/atom



La4DyZn | GGA-PBE | relaxed

The structure in POSCAR format:
```
La4DyZn
1.0
5.349 0.000 0.000
0.000 5.349 0.000
0.000 0.000 7.639
La Dy Zn
4 1 1
Cartesian
0.000 2.674 1.780
0.000 2.674 5.859
2.674 0.000 1.780
2.674 0.000 5.859
0.000 0.000 3.820
2.674 2.674 0.000
```

Summary:
- ΔH_f (0 K): 0.30 eV/atom



LaTe2SN | GGA-PBE | relaxed

The structure in POSCAR format:
```
LaTe2SN
1.0
5.909 0.000 0.000
0.000 5.909 0.000
0.000 0.000 3.440
La Te S N
1 2 1 1
Cartesian
0.000 0.000 0.000
0.000 2.954 1.720
2.954 0.000 1.720
2.954 2.954 1.720
2.954 2.954 0.000
```

Summary:
- Energy relative to the elements, uncorrected: 0.088 eV per atom



AgH4Pt4 | GGA-PBE | relaxed

The structure in POSCAR format:
```
AgH4Pt4
1.0
5.253 -1.411 0.000
5.253 1.411 0.000
-3.899 0.000 6.897
Ag H Pt
1 4 4
Cartesian
0.000 0.000 0.000
-0.451 0.000 3.151
2.546 0.000 1.263
4.062 0.000 5.635
7.058 0.000 3.747
-0.255 0.000 4.973
2.481 0.000 4.651
4.127 0.000 2.247
6.862 0.000 1.925
```

Summary:
- Total energy: -4.398 eV per atom